Record 1
Dy2ScBi | PBE | relaxed

a = 3.4776 Å, b = 3.4776 Å, c = 35.2091 Å
α = 90.00°, β = 90.00°, γ = 120.00°
Space group R-3m (No. 166, hexagonal axes)
Asymmetric unit:
Dy  0.0000  0.0000  0.0903
Sc  0.0000  0.0000  0.5000
Bi  0.0000  0.0000  0.0000

Computed properties:
- Offset from the most stable computed form: 405 meV/atom

***

Record 2
AlHSe3 | PBE | relaxed

a = 4.3831 Å, b = 4.3831 Å, c = 4.3831 Å
α = 90.00°, β = 90.00°, γ = 90.00°
Space group Pm-3m (No. 221)
Asymmetric unit:
Al  0.0000  0.0000  0.0000
H  0.5000  0.5000  0.5000
Se  0.0000  0.5000  0.5000

Computed properties:
- Offset from the most stable computed form: 49 meV/atom

***

Record 3
NaDyAlTl | PBE | relaxed

a = 7.3668 Å, b = 7.3668 Å, c = 7.3668 Å
α = 90.00°, β = 90.00°, γ = 90.00°
Space group F-43m (No. 216)
Asymmetric unit:
Na  0.0000  0.0000  0.0000
Dy  0.0000  0.0000  0.5000
Al  0.2500  0.2500  0.2500
Tl  0.2500  0.2500  0.7500

***

no.,raw total energy (eV per atom)
1,-4.819
2,-2.889
3,-3.122